The following is a GGA+U calculation of an optimized crystal structure of MnFe2SnO6, from the Alexandria database.

Properties
As for the crystal system: triclinic. The value obtained for the total DFT energy (no corrections) is -6.587 eV/atom. Its magnetic moment is 9.02 Bohr magnetons per cell.

a = 5.3040 Å, b = 5.2163 Å, c = 5.4515 Å
α = 62.94°, β = 64.05°, γ = 58.81°
Each line ends with the local moment (μB).
Sites, in units of the cell vectors:
O 0.7352 0.0991 0.7552  -0.04
O 0.0850 0.4062 0.7626  -0.05
Fe 0.5274 0.5330 0.4249  3.75
O 0.2227 0.9307 0.2286  0.03
Fe 0.0098 0.0123 0.9650  1.23
O 0.3896 0.7295 0.7637  0.02
Mn 0.8123 0.8046 0.5661  3.95
O 0.9278 0.6298 0.2494  -0.05
O 0.6327 0.1984 0.2544  -0.04
Sn 0.3191 0.3180 0.0453  0.04